Record 1
Below is a relaxed SbPdPb3 crystal, with properties calculated at the GGA-PBE level. Values from VASP.

Properties
E above lowest polymorph   16 meV per atom
Formation energy (no corrections)   -42 kJ/mol of formula units
Spin magnetization   0.00 μB/f.u.
Calculated density   9703 kg/m³
SG   No. 11
DFT total energy   -41.75 eV per cell

Cell and atoms, written as Quantum ESPRESSO input:
```
&SYSTEM
  ibrav = 0, nat = 10, ntyp = 3
/
ATOMIC_SPECIES
Sb 121.76 Sb.upf
Pd 106.42 Pd.upf
Pb 207.20 Pb.upf
ATOMIC_POSITIONS angstrom
Sb -0.497 1.110 2.200
Sb 4.727 3.330 5.856
Pd 3.543 3.330 0.751
Pd 0.687 1.110 7.305
Pb -2.240 1.110 7.920
Pb -0.231 3.330 5.732
Pb 1.631 3.330 2.844
Pb 2.599 1.110 5.211
Pb 4.461 1.110 2.323
Pb 6.470 3.330 0.135
CELL_PARAMETERS angstrom
8.132 0.000 0.000
0.000 4.440 0.000
-3.902 0.000 8.055
```

Record 2
Below is a relaxed Pu8Mn5Os crystal, with properties calculated at the GGA-PBE level. Values from VASP.

Properties
Energy relative to the elements   1.7 eV/f.u.
Spin magnetization   29.61 μB/f.u.
Calculated density   14292 kg/m³
SG   No. 82
DFT total energy   -169.99 eV per cell

Cell and atoms, written as Quantum ESPRESSO input:
```
&SYSTEM
  ibrav = 0, nat = 14, ntyp = 3
/
ATOMIC_SPECIES
Pu 244.00 Pu.upf
Mn 54.94 Mn.upf
Os 190.23 Os.upf
ATOMIC_POSITIONS angstrom
Pu 5.656 0.782 0.209
Pu 3.560 2.631 -1.572
Pu 0.782 2.387 -0.209
Pu 0.461 1.391 2.768
Pu 1.391 -0.461 5.912
Pu 3.240 1.634 4.131
Pu 2.631 4.483 1.572
Pu -1.634 3.240 4.549
Mn 0.000 0.000 0.000
Mn 2.588 -0.689 2.955
Mn 3.333 1.434 1.385
Mn 1.434 4.711 -1.385
Mn 0.689 2.588 5.725
Os 0.000 4.022 2.170
CELL_PARAMETERS angstrom
-4.022 4.022 4.340
4.022 -4.022 4.340
4.022 4.022 -4.340
```